The following is a DFT calculation (PBE) of a relaxed NaTl2CdCl6 crystal.

Lattice parameters (Å, degrees): 7.738 7.738 7.738 55.83 55.83 55.83
Element x y z (fractional)
1 Na 0.000 0.000 0.000
2 Tl 0.277 0.277 0.277
3 Tl 0.798 0.798 0.798
4 Cd 0.488 0.488 0.488
5 Cl 0.116 0.386 0.711
6 Cl 0.227 0.815 0.649
7 Cl 0.386 0.711 0.116
8 Cl 0.649 0.227 0.815
9 Cl 0.711 0.116 0.386
10 Cl 0.815 0.649 0.227

Space group: R3 (146)
Size of the total moment in μB per formula unit: 0.7
Density in g/cm³: 4.25
Formation energy from raw total energies in eV/atom: -1.0783
D(E_F) in states/eV/cell: 5.239
Final energy in eV per atom: -2.88

=====

The following is a DFT calculation (PBE) of a relaxed Al4TlCo crystal.

Lattice parameters (Å, degrees): 5.337 5.337 5.337 60.00 60.00 60.00
Element x y z (fractional)
1 Al 0.376 0.376 0.376
2 Al 0.376 0.376 0.872
3 Al 0.376 0.872 0.376
4 Al 0.872 0.376 0.376
5 Tl 0.000 0.000 0.000
6 Co 0.750 0.750 0.750

Space group: F-43m (216)
Formation energy in meV/atom: 384
Size of the total moment in μB per formula unit: 1.6
Density in g/cm³: 5.73
D(E_F) in states/eV/cell: 4.194
Final energy in eV per atom: -3.69

=====

The following is a DFT calculation (PBE) of a relaxed BiIrPb crystal.

Lattice parameters (Å, degrees): 6.721 6.721 6.721 90.00 90.00 90.00
Element x y z (fractional)
1 Bi 0.000 0.000 0.000
2 Bi 0.000 0.500 0.500
3 Bi 0.500 0.000 0.500
4 Bi 0.500 0.500 0.000
5 Ir 0.250 0.250 0.750
6 Ir 0.250 0.750 0.250
7 Ir 0.750 0.250 0.250
8 Ir 0.750 0.750 0.750
9 Pb 0.000 0.000 0.500
10 Pb 0.000 0.500 0.000
11 Pb 0.500 0.000 0.000
12 Pb 0.500 0.500 0.500

Space group: F-43m (216)
Formation energy in meV/atom: 121
Size of the total moment in μB per formula unit: 0.0
Density in g/cm³: 13.31
D(E_F) in states/eV/cell: 7.810
Offset from the most stable computed form in meV per atom: 0
Final energy in eV per atom: -5.36